VASP calculation (PBE) on a relaxed Tb5AlSi2 crystal.

POSCAR file:
```
Tb5AlSi2
1.0
6.8937 0.0000 -3.2542
-1.5362 6.7204 -3.2542
-0.0340 -0.0427 8.8569
Tb Al Si
10 2 4
Direct
0.9673 0.4673 0.2824
0.3151 0.8151 0.2824
0.4673 0.3151 0.2824
0.1849 0.0327 0.7176
0.8151 0.9673 0.2824
0.0000 0.0000 0.0000
0.0327 0.5327 0.7176
0.6849 0.1849 0.7176
0.5327 0.6849 0.7176
0.5000 0.5000 0.0000
0.7500 0.7500 0.5000
0.2500 0.2500 0.5000
0.8788 0.6212 0.0000
0.6212 0.1212 0.0000
0.1212 0.3788 0.0000
0.3788 0.8788 0.0000
```

Volume ... 408.4 Å³ per cell
Total moment ... 0.00 μB per formula unit
Total energy ... -0.3868 Ry per atom


VASP calculation (PBE) on a relaxed Tb2Al3Si crystal.

POSCAR file:
```
Tb2Al3Si
1.0
3.9026 0.0000 0.0000
0.0000 4.3151 0.0000
0.0000 0.0000 7.4845
Tb Al Si
2 3 1
Direct
0.0000 0.0000 0.4912
0.0000 0.5000 0.0108
0.5000 0.0000 0.1700
0.5000 0.0000 0.8328
0.5000 0.5000 0.6614
0.5000 0.5000 0.3339
```

Volume ... 126.0 Å³ per cell
Total moment ... 0.00 μB per formula unit
Total energy ... -0.3567 Ry per atom


VASP calculation (PBE) on a relaxed TbAlSi2 crystal.

POSCAR file:
```
TbAlSi2
1.0
-2.4335 3.5016 -0.2526
-3.4193 0.0446 -2.5601
-4.6886 -0.4588 2.6903
Tb Si Al
1 2 1
Direct
0.5000 0.5000 0.5000
0.7122 0.7122 0.8635
0.2878 0.2878 0.1365
0.0000 0.0000 0.0000
```

Volume ... 76.4 Å³ per cell
Total moment ... 0.00 μB per formula unit
Total energy ... -0.3759 Ry per atom


VASP calculation (PBE) on a relaxed TbAlSi2 crystal.

POSCAR file:
```
TbAlSi2
1.0
4.1614 0.0000 0.0000
0.0000 11.2349 0.0000
0.0000 0.0000 12.9398
Si Tb Al
16 8 8
Direct
0.2500 0.2678 0.2883
0.2500 0.0710 0.3699
0.7500 0.7207 0.3907
0.7500 0.9290 0.6301
0.7500 0.5710 0.1301
0.7500 0.7793 0.8907
0.2500 0.2322 0.7883
0.7500 0.9637 0.9725
0.2500 0.4637 0.5275
0.2500 0.2793 0.6093
0.7500 0.7678 0.2117
0.2500 0.2207 0.1093
0.7500 0.7322 0.7117
0.2500 0.4290 0.8699
0.2500 0.0363 0.0275
0.7500 0.5363 0.4725
0.7500 0.0350 0.2001
0.7500 0.2287 0.9487
0.2500 0.5350 0.2999
0.7500 0.2713 0.4487
0.2500 0.7713 0.0513
0.2500 0.9650 0.7999
0.7500 0.4650 0.7001
0.2500 0.7287 0.5513
0.7500 0.5537 0.9351
0.2500 0.6561 0.8102
0.2500 0.8439 0.3102
0.7500 0.1561 0.6898
0.7500 0.3439 0.1898
0.7500 0.9463 0.4351
0.2500 0.4463 0.0649
0.2500 0.0537 0.5649
```

Volume ... 605.0 Å³ per cell
Total moment ... 0.00 μB per formula unit
Total energy ... -0.3806 Ry per atom


VASP calculation (PBE) on a relaxed Tb2Al3Si2 crystal.

POSCAR file:
```
Tb2Al3Si2
1.0
-4.0531 -0.1069 -0.3195
1.7113 -1.9749 4.8404
-0.2736 6.4819 1.3671
Al Tb Si
3 2 2
Direct
0.6951 0.3895 0.8665
0.3049 0.6105 0.1335
0.0000 0.0000 0.0000
0.3803 0.7607 0.6775
0.6197 0.2393 0.3225
0.0930 0.1855 0.6406
0.9070 0.8145 0.3594
```

Volume ... 135.1 Å³ per cell
Total moment ... 0.00 μB per formula unit
Total energy ... -0.3698 Ry per atom


VASP calculation (PBE) on a relaxed Tb3Al3Si crystal.

POSCAR file:
```
Tb3Al3Si
1.0
-1.6863 -1.2738 3.6169
-3.2767 -1.5898 -2.0876
6.9238 -6.6884 -1.5533
Al Tb Si
3 3 1
Direct
0.8586 0.3586 0.7173
0.1425 0.6425 0.2851
0.5645 0.5645 0.1290
0.9961 0.9961 0.9922
0.3165 0.8165 0.6330
0.6879 0.1879 0.3759
0.4338 0.4338 0.8676
```

Volume ... 163.4 Å³ per cell
Total moment ... 0.39 μB per formula unit
Total energy ... -0.3582 Ry per atom


VASP calculation (PBE) on a relaxed Tb3Al2Si4 crystal.

POSCAR file:
```
Tb3Al2Si4
1.0
-0.3115 1.0930 -3.9276
-5.2870 -0.8888 2.3002
2.7680 7.8144 1.9551
Tb Si Al
3 4 2
Direct
0.6206 0.2412 0.6958
0.3794 0.7588 0.3042
0.0000 0.0000 0.0000
0.2788 0.5577 0.9437
0.0900 0.1800 0.4142
0.7212 0.4423 0.0563
0.9100 0.8200 0.5858
0.3257 0.6513 0.6756
0.6743 0.3487 0.3244
```

Volume ... 177.0 Å³ per cell
Total moment ... 0.00 μB per formula unit
Total energy ... -0.3940 Ry per atom


VASP calculation (PBE) on a relaxed TbAlSi2 crystal.

POSCAR file:
```
TbAlSi2
1.0
-1.8844 -0.4574 -3.4961
-1.8146 -3.6034 1.4495
-3.3170 2.2700 1.4909
Si Tb Al
2 1 1
Direct
0.0000 0.5000 0.0000
0.0000 0.0000 0.5000
0.5000 0.0000 0.0000
0.5000 0.5000 0.5000
```

Volume ... 73.5 Å³ per cell
Total moment ... 0.00 μB per formula unit
Total energy ... -0.3749 Ry per atom